*a*
KVRu2Rh | PBE | optimized geometry

Summary:
As for the space group: No. 123. The density of states at the Fermi level comes out at 10.72 states/eV/f.u.

a = 4.7108 Å, b = 5.1780 Å, c = 4.7108 Å
α = 90.00°, β = 90.00°, γ = 90.00°
Last column: nearest neighbours and their distance in Å.
Atoms (fractional coordinates):
1 Ru 0.5000 0.0000 0.0000  2 Rh 2.36
2 K 0.0000 0.5000 0.0000  2 Rh 2.59
3 Rh 0.0000 0.0000 0.0000  4 Ru 2.36, 2 K 2.59
4 V 0.5000 0.5000 0.5000  4 K 3.33, 8 Ru 3.50
5 Ru 0.0000 0.0000 0.5000  2 Rh 2.36

*b*
KVRu2Rh | PBE | optimized geometry

Summary:
As for the space group: No. 123. The density of states at the Fermi level comes out at 10.11 states/eV/f.u.

a = 4.5132 Å, b = 4.5438 Å, c = 4.5132 Å
α = 90.00°, β = 90.00°, γ = 90.00°
Last column: nearest neighbours and their distance in Å.
Atoms (fractional coordinates):
1 K 0.0000 0.0000 0.0000  4 Ru 2.26, 2 Rh 2.27
2 Ru 0.5000 0.0000 0.0000  2 K 2.26
3 V 0.5000 0.5000 0.5000  4 Rh 3.19, 8 Ru 3.20
4 Ru 0.0000 0.0000 0.5000  2 K 2.26
5 Rh 0.0000 0.5000 0.0000  2 K 2.27

Stability check: which of them is most stable? *a*.

*a*
KRhS3 | PBE | optimized geometry

Summary:
As for the space group: No. 221. The density of states at the Fermi level comes out at 5.23 states/eV/f.u.

a = 4.7898 Å, b = 4.7898 Å, c = 4.7898 Å
α = 90.00°, β = 90.00°, γ = 90.00°
Last column: nearest neighbours and their distance in Å.
Atoms (fractional coordinates):
1 S 0.0000 0.0000 0.5000  2 Rh 2.39
2 K 0.5000 0.5000 0.5000  12 S 3.39
3 S 0.0000 0.5000 0.0000  2 Rh 2.39
4 S 0.5000 0.0000 0.0000  2 Rh 2.39
5 Rh 0.0000 0.0000 0.0000  6 S 2.39

*b*
KRhS3 | PBE | optimized geometry

Summary:
As for the space group: No. 221. The density of states at the Fermi level comes out at 8.19 states/eV/f.u.

a = 5.3241 Å, b = 5.3241 Å, c = 5.3241 Å
α = 90.00°, β = 90.00°, γ = 90.00°
Last column: nearest neighbours and their distance in Å.
Atoms (fractional coordinates):
1 S 0.5000 0.0000 0.0000  2 K 2.66
2 K 0.0000 0.0000 0.0000  6 S 2.66
3 Rh 0.5000 0.5000 0.5000  12 S 3.76
4 S 0.0000 0.0000 0.5000  2 K 2.66
5 S 0.0000 0.5000 0.0000  2 K 2.66

Stability check: which of them is most stable? *a*.

*a*
KRh3S | PBE | optimized geometry

Summary:
As for the space group: No. 221. The density of states at the Fermi level comes out at 3.77 states/eV/f.u.

a = 4.5119 Å, b = 4.5119 Å, c = 4.5119 Å
α = 90.00°, β = 90.00°, γ = 90.00°
Last column: nearest neighbours and their distance in Å.
Atoms (fractional coordinates):
1 S 0.0000 0.0000 0.0000  6 Rh 2.26
2 K 0.5000 0.5000 0.5000  12 Rh 3.19
3 Rh 0.5000 0.0000 0.0000  2 S 2.26
4 Rh 0.0000 0.5000 0.0000  2 S 2.26
5 Rh 0.0000 0.0000 0.5000  2 S 2.26

*b*
KRh3S | PBE | optimized geometry

Summary:
As for the space group: No. 221. The density of states at the Fermi level comes out at 8.75 states/eV/f.u.

a = 4.8074 Å, b = 4.8074 Å, c = 4.8074 Å
α = 90.00°, β = 90.00°, γ = 90.00°
Last column: nearest neighbours and their distance in Å.
Atoms (fractional coordinates):
1 Rh 0.5000 0.0000 0.0000  2 K 2.40
2 K 0.0000 0.0000 0.0000  6 Rh 2.40
3 Rh 0.0000 0.0000 0.5000  2 K 2.40
4 Rh 0.0000 0.5000 0.0000  2 K 2.40
5 S 0.5000 0.5000 0.5000  12 Rh 3.40

Stability check: which of them is most stable? *a*.

*a*
KSi2RhS | PBE | optimized geometry

Summary:
As for the space group: No. 123. The density of states at the Fermi level comes out at 2.92 states/eV/f.u.

a = 4.5795 Å, b = 5.2577 Å, c = 4.5795 Å
α = 90.00°, β = 90.00°, γ = 90.00°
Last column: nearest neighbours and their distance in Å.
Atoms (fractional coordinates):
1 Rh 0.5000 0.5000 0.5000  4 K 3.24, 8 Si 3.49
2 K 0.0000 0.5000 0.0000  2 S 2.63
3 S 0.0000 0.0000 0.0000  4 Si 2.29
4 Si 0.5000 0.0000 0.0000  2 S 2.29
5 Si 0.0000 0.0000 0.5000  2 S 2.29

*b*
KSi2RhS | PBE | optimized geometry

Summary:
As for the space group: No. 123. The density of states at the Fermi level comes out at 4.10 states/eV/f.u.

a = 5.4077 Å, b = 4.5819 Å, c = 5.4077 Å
α = 90.00°, β = 90.00°, γ = 90.00°
Last column: nearest neighbours and their distance in Å.
Atoms (fractional coordinates):
1 Si 0.0000 0.0000 0.5000  2 K 2.70
2 S 0.5000 0.5000 0.5000  8 Si 3.54, 4 Rh 3.82
3 Rh 0.0000 0.5000 0.0000  2 K 2.29
4 Si 0.5000 0.0000 0.0000  2 K 2.70
5 K 0.0000 0.0000 0.0000  2 Rh 2.29

Stability check: which of them is most stable? *a*.

*a*
KSb3Rh | PBE | optimized geometry

Summary:
As for the space group: No. 221. The density of states at the Fermi level comes out at 4.95 states/eV/f.u.

a = 5.3103 Å, b = 5.3103 Å, c = 5.3103 Å
α = 90.00°, β = 90.00°, γ = 90.00°
Last column: nearest neighbours and their distance in Å.
Atoms (fractional coordinates):
1 Rh 0.0000 0.0000 0.0000  6 Sb 2.66
2 Sb 0.0000 0.0000 0.5000  2 Rh 2.66
3 Sb 0.5000 0.0000 0.0000  2 Rh 2.66
4 K 0.5000 0.5000 0.5000  12 Sb 3.75
5 Sb 0.0000 0.5000 0.0000  2 Rh 2.66

*b*
KSb3Rh | PBE | optimized geometry

Summary:
As for the space group: No. 221. The density of states at the Fermi level comes out at 6.03 states/eV/f.u.

a = 5.6687 Å, b = 5.6687 Å, c = 5.6687 Å
α = 90.00°, β = 90.00°, γ = 90.00°
Last column: nearest neighbours and their distance in Å.
Atoms (fractional coordinates):
1 K 0.0000 0.0000 0.0000  6 Sb 2.83
2 Rh 0.5000 0.5000 0.5000  12 Sb 4.01
3 Sb 0.0000 0.0000 0.5000  2 K 2.83
4 Sb 0.0000 0.5000 0.0000  2 K 2.83
5 Sb 0.5000 0.0000 0.0000  2 K 2.83

Stability check: which of them is most stable? *a*.

*a*
KSbRh3 | PBE | optimized geometry

Summary:
As for the space group: No. 221. The density of states at the Fermi level comes out at 4.44 states/eV/f.u.

a = 4.9595 Å, b = 4.9595 Å, c = 4.9595 Å
α = 90.00°, β = 90.00°, γ = 90.00°
Last column: nearest neighbours and their distance in Å.
Atoms (fractional coordinates):
1 Rh 0.0000 0.5000 0.0000  2 Sb 2.48
2 Rh 0.0000 0.0000 0.5000  2 Sb 2.48
3 Sb 0.0000 0.0000 0.0000  6 Rh 2.48
4 K 0.5000 0.5000 0.5000  12 Rh 3.51
5 Rh 0.5000 0.0000 0.0000  2 Sb 2.48

*b*
KSbRh3 | PBE | optimized geometry

Summary:
As for the space group: No. 221. The density of states at the Fermi level comes out at 7.43 states/eV/f.u.

a = 4.7526 Å, b = 4.7526 Å, c = 4.7526 Å
α = 90.00°, β = 90.00°, γ = 90.00°
Last column: nearest neighbours and their distance in Å.
Atoms (fractional coordinates):
1 Sb 0.5000 0.5000 0.5000  12 Rh 3.36
2 Rh 0.0000 0.5000 0.0000  2 K 2.38
3 Rh 0.0000 0.0000 0.5000  2 K 2.38
4 Rh 0.5000 0.0000 0.0000  2 K 2.38
5 K 0.0000 0.0000 0.0000  6 Rh 2.38

Stability check: which of them is most stable? *a*.